{"formula": "Nd2Tm9Sc", "functional": "PBE-GGA", "state": "optimized geometry", "final_energy_ry_per_atom": -0.3410, "dos_at_fermi_per_ev_fu": 17.527, "ef_mev_per_atom": 36, "cell": [[4.9578, 0.0000, 0.0000], [0.0000, 4.9578, 0.0000], [0.0000, 0.0000, 14.8443]], "species": ["Nd", "Nd", "Tm", "Tm", "Tm", "Tm", "Tm", "Tm", "Tm", "Tm", "Tm", "Sc"], "fractional_positions": [[0.0000, 0.0000, 0.3320], [0.0000, 0.0000, 0.6680], [0.5000, 0.5000, 0.0000], [0.5000, 0.5000, 0.3297], [0.5000, 0.5000, 0.6703], [0.5000, 0.0000, 0.1602], [0.5000, 0.0000, 0.5000], [0.5000, 0.0000, 0.8398], [0.0000, 0.5000, 0.1602], [0.0000, 0.5000, 0.5000], [0.0000, 0.5000, 0.8398], [0.0000, 0.0000, 0.0000]]}

{"formula": "TcHgPb", "functional": "PBE-GGA", "state": "optimized geometry", "final_energy_ry_per_atom": -0.3023, "dos_at_fermi_per_ev_fu": 2.269, "de_polymorph_kj_per_mol_atoms": 0.00, "ef_mev_per_atom": 679, "cell": [[-1.8783, 1.6909, 1.9667], [-1.1789, -2.5455, -1.5445], [2.0032, -4.3666, 5.6674]], "species": ["Hg", "Pb", "Tc"], "fractional_positions": [[0.0000, 0.0000, 0.9685], [0.6667, 0.3333, 0.3629], [0.3333, 0.6667, 0.6687]]}

{"formula": "La3CeY6Tm2", "functional": "PBE-GGA", "state": "optimized geometry", "final_energy_ry_per_atom": -0.4164, "dos_at_fermi_per_ev_fu": 19.455, "ef_mev_per_atom": 38, "cell": [[6.2412, -0.0015, 0.0073], [-3.1203, 5.4051, 0.0073], [-1.0541, -1.8251, 11.7144]], "species": ["La", "La", "La", "Ce", "Y", "Y", "Y", "Y", "Y", "Y", "Tm", "Tm"], "fractional_positions": [[0.1679, 0.8321, 0.5000], [0.8321, 0.1679, 0.5000], [0.5000, 0.5000, 0.5000], [0.0000, 0.0000, 0.0000], [0.9186, 0.5869, 0.7563], [0.7495, 0.7495, 0.2441], [0.0814, 0.4131, 0.2437], [0.5869, 0.9186, 0.7563], [0.2505, 0.2505, 0.7559], [0.4131, 0.0814, 0.2437], [0.3332, 0.6668, 0.0000], [0.6668, 0.3332, 0.0000]]}